SrHfGa3 | PBE | optimized geometry

a b c (Å): 5.306 5.306 5.306
angles (deg): 90.00 90.00 90.00
Fractional positions:
Ga1 0.000 0.500 0.000
Ga2 0.500 0.000 0.000
Ga3 0.000 0.000 0.500
Sr1 0.000 0.000 0.000
Hf1 0.500 0.500 0.500

## Properties
N(E_F) ... 1.04 states/eV per atom
Energy above the most stable polymorph in this dataset ... 1335.9 meV/atom
Symmetry ... Pm-3m
Energy of formation from the pure elements ... 1.317 eV/atom